A relaxed structure of AcYScAl. Source: Alexandria, functional PBE.

Lattice parameters (Å, degrees): 7.7146 7.7146 7.7146 90.00 90.00 90.00
Sites, in units of the cell vectors:
Ac  0.0000  0.0000  0.0000
Ac  0.0000  0.5000  0.5000
Ac  0.5000  0.0000  0.5000
Ac  0.5000  0.5000  0.0000
Y  0.0000  0.0000  0.5000
Y  0.0000  0.5000  0.0000
Y  0.5000  0.0000  0.0000
Y  0.5000  0.5000  0.5000
Sc  0.2500  0.2500  0.7500
Sc  0.2500  0.7500  0.2500
Sc  0.7500  0.2500  0.2500
Sc  0.7500  0.7500  0.7500
Al  0.2500  0.2500  0.2500
Al  0.2500  0.7500  0.7500
Al  0.7500  0.2500  0.7500
Al  0.7500  0.7500  0.2500

Computed properties:
The value obtained for the formation energy is -0.04 eV per atom.